Material: CsGaP2O
Method: DFT, PBE-GGA
State: relaxed

Cell: 5.529 5.529 3.670 Å, 90.00 90.00 90.00°
Atoms (fractional coordinates):
Ga 0.000 0.000 0.000
Cs 0.500 0.500 0.500
P 0.500 0.000 0.000
P 0.000 0.500 0.000
O 0.000 0.000 0.500

As for the space group: No. 123. For the uncorrected energy, the calculation gives -3.64 eV per atom. The value obtained for the uncorrected formation energy is 1.44 eV/f.u. The density of states at the Fermi level comes out at 5.0 states/eV/cell.